{
  "formula": "CdOs2Pt",
  "functional": "PBE",
  "state": "relaxed",
  "lattice_angstrom": [[-2.183, -2.969, 2.563], [-3.774, 1.204, 2.111], [-3.950, -1.652, -1.348]],
  "species": ["Cd", "Os", "Os", "Pt"],
  "fractional_positions": [[0.250, 0.250, 0.250], [0.000, 0.000, 0.000], [0.750, 0.750, 0.750], [0.500, 0.500, 0.500]],
  "energy_ev_per_atom": -6.6768,
  "e_form_mev_per_atom": 674,
  "sg": "No. 216"
}